Computed, not measured: crystalline NaPrCdRh at its relaxed geometry at the PBE level of DFT.

Calculated values
M_tot in μB per atom: 0.000
N(E_F) in states/eV per cell: 2.36
Formation enthalpy at 0 K in meV per atom: -183
Symmetry: F-43m, No. 216
Energy in eV per atom: -3.774

Cell and atoms, written as POSCAR:
```
NaPrCdRh
1.0
5.001 0.000 0.000
2.500 4.331 0.000
2.500 1.444 4.083
Rh Na Cd Pr
1 1 1 1
Cartesian
2.500 1.444 1.021
7.501 4.331 3.062
0.000 0.000 0.000
5.001 2.887 2.041
```

Computed, not measured: crystalline CaCr2S at its relaxed geometry at the PBE level of DFT.

Calculated values
M_tot in μB per atom: 0.890
N(E_F) in states/eV per cell: 5.99
Symmetry: I4_1/amd, No. 141
Energy in eV per atom: -6.163

Cell and atoms, written as POSCAR:
```
CaCr2S
1.0
-1.153 -3.948 1.508
4.134 -0.728 1.255
-0.174 0.976 8.784
Cr S Ca
4 2 2
Cartesian
0.041 -1.328 2.919
2.108 -1.691 3.546
1.444 -3.177 8.693
2.021 -1.203 7.938
1.490 -2.338 1.382
2.725 -1.045 5.711
0.082 -2.655 5.837
0.000 0.000 0.000
```

Computed, not measured: crystalline HgPt2Cl at its relaxed geometry at the PBE level of DFT.

Calculated values
M_tot in μB per atom: 0.000
N(E_F) in states/eV per cell: 4.26
Symmetry: Imm2, No. 44
Energy in eV per atom: -3.235

Cell and atoms, written as POSCAR:
```
HgPt2Cl
1.0
0.050 -2.942 -5.054
-4.752 -3.408 0.017
2.569 5.245 -0.295
Cl Hg Pt
1 1 2
Cartesian
-2.540 -3.431 -2.722
-2.192 -0.568 -1.318
0.138 -0.431 -3.930
-4.591 -6.200 -4.919
```

What is the M_tot in the second record?
0.890 μB per atom

Look up the energy of the second one.
-6.163 eV per atom